A plane-wave DFT calculation with PBE-GGA was carried out for crystalline Cs3IO at its relaxed geometry.

Results
- crystal system = hexagonal
- space-group type = No. 194
- formation energy without anion corrections (meV per atom) = -1262

Cell lengths 8.344, 8.344, 7.265 Å; angles 90.00, 90.00, 120.00 degrees
Sites, in units of the cell vectors:
Cs (0.153, 0.306, 0.250)
Cs (0.153, 0.847, 0.250)
Cs (0.306, 0.153, 0.750)
Cs (0.694, 0.847, 0.250)
Cs (0.847, 0.153, 0.750)
Cs (0.847, 0.694, 0.750)
I (0.333, 0.667, 0.750)
I (0.667, 0.333, 0.250)
O (0.000, 0.000, 0.000)
O (0.000, 0.000, 0.500)



A plane-wave DFT calculation with PBE-GGA was carried out for crystalline Cs3IO at its relaxed geometry.

Results
- crystal system = monoclinic
- space-group type = No. 12
- formation energy without anion corrections (meV per atom) = -1190

Cell lengths 7.813, 7.813, 10.341 Å; angles 103.55, 103.55, 47.71 degrees
Sites, in units of the cell vectors:
Cs (0.079, 0.079, 0.169)
Cs (0.130, 0.130, 0.654)
Cs (0.338, 0.338, 0.041)
Cs (0.662, 0.662, 0.959)
Cs (0.870, 0.870, 0.346)
Cs (0.921, 0.921, 0.831)
I (0.396, 0.396, 0.624)
I (0.604, 0.604, 0.376)
O (0.134, 0.134, 0.920)
O (0.866, 0.866, 0.080)



A plane-wave DFT calculation with PBE-GGA was carried out for crystalline CsI2O8 at its relaxed geometry.

Results
- crystal system = orthorhombic
- space-group type = No. 65
- formation energy without anion corrections (meV per atom) = -387
- DOS at the Fermi energy (states/eV/cell) = 2.39

Cell lengths 8.004, 8.004, 3.983 Å; angles 90.00, 90.00, 129.37 degrees
Sites, in units of the cell vectors:
Cs (0.000, 0.000, 0.000)
I (0.276, 0.724, 0.500)
I (0.724, 0.276, 0.500)
O (0.145, 0.436, 0.500)
O (0.244, 0.756, 0.000)
O (0.436, 0.145, 0.500)
O (0.500, 0.500, 0.155)
O (0.500, 0.500, 0.845)
O (0.564, 0.855, 0.500)
O (0.756, 0.244, 0.000)
O (0.855, 0.564, 0.500)



A plane-wave DFT calculation with PBE-GGA was carried out for crystalline Cs2IO5 at its relaxed geometry.

Results
- crystal system = tetragonal
- space-group type = No. 107
- formation energy without anion corrections (meV per atom) = -830

Cell lengths 6.647, 6.647, 6.647 Å; angles 117.83, 117.83, 93.80 degrees
Sites, in units of the cell vectors:
Cs (0.000, 0.500, 0.500)
Cs (0.500, 0.000, 0.500)
I (0.228, 0.228, 0.000)
O (0.030, 0.030, 0.000)
O (0.093, 0.093, 0.628)
O (0.093, 0.465, 0.000)
O (0.465, 0.093, 0.000)
O (0.465, 0.465, 0.372)



Q: The highest formation energy without anion corrections belongs to which entry?
A: CsI2O8



Copy entry 3 word for word.
A plane-wave DFT calculation with PBE-GGA was carried out for crystalline CsI2O8 at its relaxed geometry.

Results
- crystal system = orthorhombic
- space-group type = No. 65
- formation energy without anion corrections (meV per atom) = -387
- DOS at the Fermi energy (states/eV/cell) = 2.39

Cell lengths 8.004, 8.004, 3.983 Å; angles 90.00, 90.00, 129.37 degrees
Sites, in units of the cell vectors:
Cs (0.000, 0.000, 0.000)
I (0.276, 0.724, 0.500)
I (0.724, 0.276, 0.500)
O (0.145, 0.436, 0.500)
O (0.244, 0.756, 0.000)
O (0.436, 0.145, 0.500)
O (0.500, 0.500, 0.155)
O (0.500, 0.500, 0.845)
O (0.564, 0.855, 0.500)
O (0.756, 0.244, 0.000)
O (0.855, 0.564, 0.500)



Q: The lowest formation energy without anion corrections belongs to which entry?
A: number 1